No. 1
Here is a geometry-optimized TlBi3Ru structure from the Alexandria database. Energies are from PBE-GGA.

## Properties
* VASP energy: -4.28 eV per atom

a = 5.3731 Å, b = 5.3731 Å, c = 5.3731 Å
α = 90.00°, β = 90.00°, γ = 90.00°
With the nearest neighbours (Å) after each atom.
Fractional positions:
Ru (0.0000, 0.0000, 0.0000)  6 Bi 2.69
Bi (0.5000, 0.0000, 0.0000)  2 Ru 2.69
Tl (0.5000, 0.5000, 0.5000)  12 Bi 3.80
Bi (0.0000, 0.5000, 0.0000)  2 Ru 2.69
Bi (0.0000, 0.0000, 0.5000)  2 Ru 2.69



No. 2
Here is a geometry-optimized TlBiRu structure from the Alexandria database. Energies are from PBE-GGA.

## Properties
* VASP energy: -4.78 eV per atom

a = 4.1057 Å, b = 3.3902 Å, c = 10.5892 Å
α = 90.00°, β = 90.00°, γ = 90.00°
With the nearest neighbours (Å) after each atom.
Fractional positions:
Ru (0.5000, 0.0000, 0.5114)  3 Tl 2.80-3.06, 4 Bi 2.81
Bi (0.0000, 0.0000, 0.0952)  4 Ru 2.81
Ru (0.5000, 0.5000, 0.0114)  3 Tl 2.80-3.06, 4 Bi 2.81
Bi (0.0000, 0.5000, 0.5952)  4 Ru 2.81
Tl (0.5000, 0.0000, 0.8004)  3 Ru 2.80-3.06
Tl (0.5000, 0.5000, 0.3004)  3 Ru 2.80-3.06



No. 3
Here is a geometry-optimized TlBiRu structure from the Alexandria database. Energies are from PBE-GGA.

## Properties
* VASP energy: -4.80 eV per atom

a = 4.5241 Å, b = 3.3410 Å, c = 9.8872 Å
α = 90.00°, β = 90.00°, γ = 90.00°
With the nearest neighbours (Å) after each atom.
Fractional positions:
Ru (0.0000, 0.0000, 0.6988)  3 Bi 2.75-2.76, 4 Tl 2.83
Bi (0.0000, 0.5000, 0.4770)  3 Ru 2.75-2.76
Tl (0.5000, 0.5000, 0.7312)  4 Ru 2.83
Ru (0.0000, 0.5000, 0.1988)  3 Bi 2.75-2.76, 4 Tl 2.83
Tl (0.5000, 0.0000, 0.2312)  4 Ru 2.83
Bi (0.0000, 0.0000, 0.9770)  3 Ru 2.75-2.76



No. 4
Here is a geometry-optimized TlBiRu structure from the Alexandria database. Energies are from PBE-GGA.

## Properties
* VASP energy: -4.80 eV per atom

a = 6.6350 Å, b = 6.6350 Å, c = 6.6350 Å
α = 90.00°, β = 90.00°, γ = 90.00°
With the nearest neighbours (Å) after each atom.
Fractional positions:
Ru (0.5000, 0.5000, 0.5000)  4 Tl 2.87, 4 Bi 2.87
Ru (0.5000, 0.0000, 0.0000)  4 Tl 2.87, 4 Bi 2.87
Tl (0.2500, 0.2500, 0.7500)  4 Ru 2.87
Bi (0.2500, 0.7500, 0.7500)  4 Ru 2.87
Tl (0.7500, 0.7500, 0.7500)  4 Ru 2.87
Bi (0.7500, 0.7500, 0.2500)  4 Ru 2.87
Bi (0.2500, 0.2500, 0.2500)  4 Ru 2.87
Bi (0.7500, 0.2500, 0.7500)  4 Ru 2.87
Ru (0.0000, 0.5000, 0.0000)  4 Tl 2.87, 4 Bi 2.87
Ru (0.0000, 0.0000, 0.5000)  4 Tl 2.87, 4 Bi 2.87
Tl (0.2500, 0.7500, 0.2500)  4 Ru 2.87
Tl (0.7500, 0.2500, 0.2500)  4 Ru 2.87



No. 5
Here is a geometry-optimized TlBiRu structure from the Alexandria database. Energies are from PBE-GGA.

## Properties
* VASP energy: -4.84 eV per atom

a = 7.2595 Å, b = 3.5351 Å, c = 6.1720 Å
α = 90.00°, β = 106.85°, γ = 90.00°
With the nearest neighbours (Å) after each atom.
Fractional positions:
Tl (0.4555, 0.0000, 0.9512)  3 Ru 2.84
Ru (0.7382, 0.5000, 0.8796)  3 Bi 2.70, 3 Tl 2.84
Bi (0.9923, 0.5000, 0.2982)  3 Ru 2.70
Tl (0.4555, 0.5000, 0.4512)  3 Ru 2.84
Ru (0.7382, 0.0000, 0.3796)  3 Bi 2.70, 3 Tl 2.84
Bi (0.9923, 0.0000, 0.7982)  3 Ru 2.70



No. 6
Here is a geometry-optimized TlBiRu structure from the Alexandria database. Energies are from PBE-GGA.

## Properties
* VASP energy: -4.74 eV per atom

a = 3.6347 Å, b = 4.1164 Å, c = 5.4319 Å
α = 89.79°, β = 84.41°, γ = 89.97°
With the nearest neighbours (Å) after each atom.
Fractional positions:
Tl (0.5000, 0.0000, 0.5000)  2 Ru 2.72
Bi (0.0000, 0.5000, 0.0000)  4 Ru 2.74-2.75
Ru (0.5000, 0.0000, 0.0000)  2 Tl 2.72, 4 Bi 2.74-2.75